# TiP2OF | Alexandria via LeMat-Bulk | PBE | relaxed
# VASP energy = -24.79 eV/f.u.
# energy relative to the elements, uncorrected = 14.53 kJ per mole of atoms
# D(E_F) = 3.326 states/eV per cell
# space-group type = P4/mmm, No. 123
data_TiP2OF
_chemical_formula_sum 'Ti1 P2 O1 F1'
_symmetry_space_group_name_H-M 'P 1'
_symmetry_Int_Tables_number 1
_symmetry_space_group_name_Hall 'P 1'
_cell_length_a 3.865
_cell_length_b 3.865
_cell_length_c 4.469
_cell_angle_alpha 90.00
_cell_angle_beta 90.00
_cell_angle_gamma 90.00
loop_
_atom_site_label
_atom_site_fract_x
_atom_site_fract_y
_atom_site_fract_z
Ti1 0.000 0.000 0.000
P1 0.000 0.500 0.500
P2 0.500 0.000 0.500
O1 0.500 0.500 0.000
F1 0.500 0.500 0.500

# TiP2OF | Alexandria via LeMat-Bulk | PBE | relaxed
# VASP energy = -26.94 eV/f.u.
# energy relative to the elements, uncorrected = -26.92 kJ per mole of atoms
# D(E_F) = 3.010 states/eV per cell
# space-group type = P4/mmm, No. 123
data_TiP2OF
_chemical_formula_sum 'Ti1 P2 O1 F1'
_symmetry_space_group_name_H-M 'P 1'
_symmetry_Int_Tables_number 1
_symmetry_space_group_name_Hall 'P 1'
_cell_length_a 4.028
_cell_length_b 4.028
_cell_length_c 4.258
_cell_angle_alpha 90.00
_cell_angle_beta 90.00
_cell_angle_gamma 90.00
loop_
_atom_site_label
_atom_site_fract_x
_atom_site_fract_y
_atom_site_fract_z
Ti1 0.000 0.000 0.000
P1 0.000 0.500 0.500
P2 0.500 0.000 0.500
O1 0.000 0.000 0.500
F1 0.500 0.500 0.000

# TiPOF2 | Alexandria via LeMat-Bulk | PBE | relaxed
# VASP energy = -29.91 eV/f.u.
# energy relative to the elements, uncorrected = -152.44 kJ per mole of atoms
# D(E_F) = 3.490 states/eV per cell
# space-group type = P4/mmm, No. 123
data_TiPOF2
_chemical_formula_sum 'Ti1 P1 O1 F2'
_symmetry_space_group_name_H-M 'P 1'
_symmetry_Int_Tables_number 1
_symmetry_space_group_name_Hall 'P 1'
_cell_length_a 4.139
_cell_length_b 4.139
_cell_length_c 3.857
_cell_angle_alpha 90.00
_cell_angle_beta 90.00
_cell_angle_gamma 90.00
loop_
_atom_site_label
_atom_site_fract_x
_atom_site_fract_y
_atom_site_fract_z
Ti1 0.000 0.000 0.000
P1 0.500 0.500 0.500
O1 0.000 0.000 0.500
F1 0.000 0.500 0.000
F2 0.500 0.000 0.000

# TiPOF2 | Alexandria via LeMat-Bulk | PBE | relaxed
# VASP energy = -26.20 eV/f.u.
# energy relative to the elements, uncorrected = -80.94 kJ per mole of atoms
# D(E_F) = 5.674 states/eV per cell
# space-group type = P4/mmm, No. 123
data_TiPOF2
_chemical_formula_sum 'Ti1 P1 O1 F2'
_symmetry_space_group_name_H-M 'P 1'
_symmetry_Int_Tables_number 1
_symmetry_space_group_name_Hall 'P 1'
_cell_length_a 4.498
_cell_length_b 4.498
_cell_length_c 3.470
_cell_angle_alpha 90.00
_cell_angle_beta 90.00
_cell_angle_gamma 90.00
loop_
_atom_site_label
_atom_site_fract_x
_atom_site_fract_y
_atom_site_fract_z
Ti1 0.000 0.000 0.000
P1 0.500 0.500 0.500
O1 0.500 0.500 0.000
F1 0.000 0.500 0.500
F2 0.500 0.000 0.500

# TlPO4F | Alexandria via LeMat-Bulk | PBE | relaxed
# VASP energy = -39.24 eV/f.u.
# energy relative to the elements, uncorrected = -134.55 kJ per mole of atoms
# D(E_F) = 6.340 states/eV per cell
# space-group type = C2/m, No. 12
data_TlPO4F
_chemical_formula_sum 'Tl2 P2 O8 F2'
_symmetry_space_group_name_H-M 'P 1'
_symmetry_Int_Tables_number 1
_symmetry_space_group_name_Hall 'P 1'
_cell_length_a 5.732
_cell_length_b 5.732
_cell_length_c 6.614
_cell_angle_alpha 103.05
_cell_angle_beta 103.05
_cell_angle_gamma 74.61
loop_
_atom_site_label
_atom_site_fract_x
_atom_site_fract_y
_atom_site_fract_z
Tl1 0.204 0.204 0.118
Tl2 0.796 0.796 0.882
P1 0.356 0.356 0.732
P2 0.644 0.644 0.268
O1 0.131 0.478 0.845
O2 0.281 0.281 0.495
O3 0.470 0.470 0.234
O4 0.478 0.131 0.845
O5 0.522 0.869 0.155
O6 0.530 0.530 0.766
O7 0.719 0.719 0.505
O8 0.869 0.522 0.155
F1 0.018 0.018 0.809
F2 0.982 0.982 0.191

# UP2O8F | Alexandria via LeMat-Bulk | PBE | relaxed
# VASP energy = -90.14 eV/f.u.
# energy relative to the elements, uncorrected = -213.04 kJ per mole of atoms
# D(E_F) = 7.351 states/eV per cell
# space-group type = C2/m, No. 12
data_UP2O8F
_chemical_formula_sum 'U1 P2 O8 F1'
_symmetry_space_group_name_H-M 'P 1'
_symmetry_Int_Tables_number 1
_symmetry_space_group_name_Hall 'P 1'
_cell_length_a 5.988
_cell_length_b 5.988
_cell_length_c 4.757
_cell_angle_alpha 90.06
_cell_angle_beta 90.06
_cell_angle_gamma 60.11
loop_
_atom_site_label
_atom_site_fract_x
_atom_site_fract_y
_atom_site_fract_z
U1 0.000 0.000 0.000
P1 0.333 0.333 0.712
P2 0.667 0.667 0.288
O1 0.193 0.193 0.831
O2 0.194 0.613 0.829
O3 0.332 0.332 0.396
O4 0.387 0.806 0.171
O5 0.613 0.194 0.829
O6 0.668 0.668 0.604
O7 0.806 0.387 0.171
O8 0.807 0.807 0.169
F1 0.000 0.000 0.500

# UP2O6F2 | Alexandria via LeMat-Bulk | PBE | relaxed
# VASP energy = -84.80 eV/f.u.
# energy relative to the elements, uncorrected = -256.10 kJ per mole of atoms
# D(E_F) = 6.332 states/eV per cell
# space-group type = P-3m1, No. 164
data_UP2O6F2
_chemical_formula_sum 'U1 P2 O6 F2'
_symmetry_space_group_name_H-M 'P 1'
_symmetry_Int_Tables_number 1
_symmetry_space_group_name_Hall 'P 1'
_cell_length_a 5.793
_cell_length_b 5.793
_cell_length_c 6.092
_cell_angle_alpha 90.00
_cell_angle_beta 90.00
_cell_angle_gamma 120.00
loop_
_atom_site_label
_atom_site_fract_x
_atom_site_fract_y
_atom_site_fract_z
U1 0.000 0.000 0.000
P1 0.333 0.667 0.731
P2 0.667 0.333 0.269
O1 0.187 0.373 0.797
O2 0.187 0.813 0.797
O3 0.373 0.187 0.203
O4 0.627 0.813 0.797
O5 0.813 0.187 0.203
O6 0.813 0.627 0.203
F1 0.333 0.667 0.473
F2 0.667 0.333 0.527

# UPO4F | Alexandria via LeMat-Bulk | PBE | relaxed
# VASP energy = -58.28 eV/f.u.
# energy relative to the elements, uncorrected = -273.97 kJ per mole of atoms
# D(E_F) = 11.160 states/eV per cell
# space-group type = C2/m, No. 12
data_UPO4F
_chemical_formula_sum 'U2 P2 O8 F2'
_symmetry_space_group_name_H-M 'P 1'
_symmetry_Int_Tables_number 1
_symmetry_space_group_name_Hall 'P 1'
_cell_length_a 5.753
_cell_length_b 5.753
_cell_length_c 6.607
_cell_angle_alpha 102.68
_cell_angle_beta 102.68
_cell_angle_gamma 75.25
loop_
_atom_site_label
_atom_site_fract_x
_atom_site_fract_y
_atom_site_fract_z
U1 0.222 0.222 0.141
U2 0.778 0.778 0.859
P1 0.350 0.350 0.724
P2 0.650 0.650 0.276
O1 0.129 0.476 0.843
O2 0.261 0.261 0.492
O3 0.476 0.129 0.843
O4 0.477 0.477 0.245
O5 0.523 0.523 0.755
O6 0.524 0.871 0.157
O7 0.739 0.739 0.508
O8 0.871 0.524 0.157
F1 0.019 0.019 0.824
F2 0.981 0.981 0.176

- Which formula does entry 4 have?
  TiPOF2

- Number 6 is which compound?
  UP2O8F

- What is the D(E_F) in the third record?
  3.490 states/eV per cell